Record 1
{
  "formula": "SnMo2N",
  "functional": "GGA-PBE",
  "state": "optimized geometry",
  "lattice_angstrom": [[1.600, 0.924, 7.505], [-1.600, 0.924, 7.505], [0.000, -1.847, 7.505]],
  "species": ["Sn", "Mo", "Mo", "N"],
  "fractional_positions": [[0.000, 0.000, 0.000], [0.121, 0.121, 0.121], [0.879, 0.879, 0.879], [0.500, 0.500, 0.500]],
  "energy_ev_per_cell": -33.18,
  "volume_a3_per_cell": 66.5
}

---

Record 2
{
  "formula": "ReAsRu2",
  "functional": "GGA-PBE",
  "state": "optimized geometry",
  "lattice_angstrom": [[4.479, -1.410, 0.000], [4.479, 1.410, 0.000], [-0.360, 0.000, 4.631]],
  "species": ["Re", "As", "Ru", "Ru"],
  "fractional_positions": [[0.000, 0.000, 0.000], [0.500, 0.500, 0.500], [0.264, 0.264, 0.759], [0.736, 0.736, 0.241]],
  "e_form_ev_per_atom": 0.1936,
  "energy_ev_per_cell": -34.88,
  "volume_a3_per_cell": 58.5
}